Model P:
SmYGaCo after structural relaxation, computed with PBE.

POSCAR file:
```
SmYGaCo
1.0
0.000 3.529 3.529
3.529 0.000 3.529
3.529 3.529 0.000
Sm Y Ga Co
1 1 1 1
direct
0.000 0.000 0.000 Sm
0.500 0.500 0.500 Y
0.750 0.750 0.750 Ga
0.250 0.250 0.250 Co
```

space-group type = F-43m, No. 216
size of the total moment = 1.10 μB/f.u.



Model Q:
SmYGaCo after structural relaxation, computed with PBE.

POSCAR file:
```
SmYGaCo
1.0
4.252 0.000 0.000
0.000 2.008 5.283
0.000 -2.008 5.283
Sm Y Ga Co
1 1 1 1
direct
0.000 0.000 0.000 Sm
0.500 0.283 0.283 Y
0.500 0.581 0.581 Ga
0.000 0.707 0.707 Co
```

space-group type = Amm2, No. 38
size of the total moment = 0.00 μB/f.u.



What is the stability order? It is model Q, model P, from most stable to least stable.



Model P:
Ga2Co2Sn after structural relaxation, computed with PBE.

POSCAR file:
```
Ga2Co2Sn
1.0
6.812 0.000 0.000
0.000 6.812 0.000
0.000 0.000 3.161
Ga Co Sn
4 4 2
direct
0.145 0.355 0.000 Ga
0.355 0.855 0.000 Ga
0.645 0.145 0.000 Ga
0.855 0.645 0.000 Ga
0.148 0.648 0.500 Co
0.352 0.148 0.500 Co
0.648 0.852 0.500 Co
0.852 0.352 0.500 Co
0.000 0.000 0.500 Sn
0.500 0.500 0.500 Sn
```

space-group type = P4/mbm, No. 127
size of the total moment = 0.00 μB/f.u.



Model Q:
Ga2Co2Sn after structural relaxation, computed with PBE.

POSCAR file:
```
Ga2Co2Sn
1.0
7.304 0.000 0.000
0.000 7.304 0.000
0.000 0.000 2.764
Ga Co Sn
4 4 2
direct
0.130 0.370 0.000 Ga
0.370 0.870 0.000 Ga
0.630 0.130 0.000 Ga
0.870 0.630 0.000 Ga
0.162 0.662 0.500 Co
0.338 0.162 0.500 Co
0.662 0.838 0.500 Co
0.838 0.338 0.500 Co
0.000 0.000 0.000 Sn
0.500 0.500 0.000 Sn
```

space-group type = P4/mbm, No. 127
size of the total moment = 0.00 μB/f.u.



Model R:
Ga2Co2Sn after structural relaxation, computed with PBE.

POSCAR file:
```
Ga2Co2Sn
1.0
-1.777 1.777 5.937
1.777 -1.777 5.937
1.777 1.777 -5.937
Ga Co Sn
2 2 1
direct
0.250 0.750 0.500 Ga
0.750 0.250 0.500 Ga
0.103 0.103 0.000 Co
0.897 0.897 0.000 Co
0.500 0.500 0.000 Sn
```

space-group type = I4/mmm, No. 139
size of the total moment = 0.00 μB/f.u.



Model S:
Ga2Co2Sn after structural relaxation, computed with PBE.

POSCAR file:
```
Ga2Co2Sn
1.0
-2.033 2.033 4.976
2.033 -2.033 4.976
2.033 2.033 -4.976
Ga Co Sn
2 2 1
direct
0.129 0.129 0.000 Ga
0.871 0.871 0.000 Ga
0.250 0.750 0.500 Co
0.750 0.250 0.500 Co
0.500 0.500 0.000 Sn
```

space-group type = I4/mmm, No. 139
size of the total moment = 0.00 μB/f.u.



What is the stability order? It is model R, model P, model Q, model S, from most stable to least stable.



Model P:
SrGaCo3 after structural relaxation, computed with PBE.

POSCAR file:
```
SrGaCo3
1.0
4.557 0.000 0.000
0.000 4.557 0.000
0.000 0.000 4.557
Sr Ga Co
1 1 3
direct
0.000 0.000 0.000 Sr
0.500 0.500 0.500 Ga
0.000 0.500 0.500 Co
0.500 0.000 0.500 Co
0.500 0.500 0.000 Co
```

space-group type = Pm-3m, No. 221
size of the total moment = 3.46 μB/f.u.



Model Q:
SrGaCo3 after structural relaxation, computed with PBE.

POSCAR file:
```
SrGaCo3
1.0
4.732 0.000 0.000
0.000 4.732 0.000
0.000 0.000 4.732
Sr Ga Co
1 1 3
direct
0.000 0.000 0.000 Sr
0.500 0.500 0.500 Ga
0.000 0.000 0.500 Co
0.000 0.500 0.000 Co
0.500 0.000 0.000 Co
```

space-group type = Pm-3m, No. 221
size of the total moment = 3.54 μB/f.u.



What is the stability order? It is model P, model Q, from most stable to least stable.



Model P:
Sr2Ga2Co after structural relaxation, computed with PBE.

POSCAR file:
```
Sr2Ga2Co
1.0
8.754 0.000 0.000
0.000 8.754 0.000
0.000 0.000 3.718
Sr Ga Co
4 4 2
direct
0.194 0.306 0.000 Sr
0.306 0.806 0.000 Sr
0.694 0.194 0.000 Sr
0.806 0.694 0.000 Sr
0.102 0.602 0.500 Ga
0.398 0.102 0.500 Ga
0.602 0.898 0.500 Ga
0.898 0.398 0.500 Ga
0.000 0.000 0.000 Co
0.500 0.500 0.000 Co
```

space-group type = P4/mbm, No. 127
size of the total moment = 0.06 μB/f.u.



Model Q:
Sr2Ga2Co after structural relaxation, computed with PBE.

POSCAR file:
```
Sr2Ga2Co
1.0
6.946 0.000 0.000
0.000 6.946 0.000
0.000 0.000 5.106
Sr Ga Co
4 4 2
direct
0.177 0.323 0.000 Sr
0.323 0.823 0.000 Sr
0.677 0.177 0.000 Sr
0.823 0.677 0.000 Sr
0.143 0.643 0.500 Ga
0.357 0.143 0.500 Ga
0.643 0.857 0.500 Ga
0.857 0.357 0.500 Ga
0.000 0.000 0.500 Co
0.500 0.500 0.500 Co
```

space-group type = P4/mbm, No. 127
size of the total moment = 0.93 μB/f.u.



What is the stability order? It is model Q, model P, from most stable to least stable.



Model P:
TaGa2Co2 after structural relaxation, computed with PBE.

POSCAR file:
```
TaGa2Co2
1.0
7.059 0.000 0.000
0.000 7.059 0.000
0.000 0.000 2.693
Ta Ga Co
2 4 4
direct
0.000 0.000 0.000 Ta
0.500 0.500 0.000 Ta
0.128 0.372 0.000 Ga
0.372 0.872 0.000 Ga
0.628 0.128 0.000 Ga
0.872 0.628 0.000 Ga
0.171 0.671 0.500 Co
0.329 0.171 0.500 Co
0.671 0.829 0.500 Co
0.829 0.329 0.500 Co
```

space-group type = P4/mbm, No. 127
size of the total moment = 0.00 μB/f.u.



Model Q:
TaGa2Co2 after structural relaxation, computed with PBE.

POSCAR file:
```
TaGa2Co2
1.0
6.925 0.000 0.000
0.000 6.925 0.000
0.000 0.000 2.818
Ta Ga Co
2 4 4
direct
0.000 0.000 0.000 Ta
0.500 0.500 0.000 Ta
0.161 0.339 0.500 Ga
0.339 0.839 0.500 Ga
0.661 0.161 0.500 Ga
0.839 0.661 0.500 Ga
0.135 0.635 0.000 Co
0.365 0.135 0.000 Co
0.635 0.865 0.000 Co
0.865 0.365 0.000 Co
```

space-group type = P4/mbm, No. 127
size of the total moment = 0.00 μB/f.u.



What is the stability order? It is model P, model Q, from most stable to least stable.